[1]
First-principles (PBE) data for a geometry-optimized LiTm2CuSe4 structure, as listed in the Alexandria database.

Formation energy from raw total energies in meV per atom: -1371
E in eV per cell: -39.86

Cell: 6.7849 3.9946 6.9796 Å, 90.00 111.68 90.00°
Atoms (fractional coordinates):
Li 0.0000 0.0000 0.0000
Tm 0.5000 0.0000 0.5000
Tm 0.5000 0.5000 0.0000
Cu 0.0000 0.5000 0.5000
Se 0.2369 0.0000 0.7370
Se 0.2455 0.5000 0.2423
Se 0.7545 0.5000 0.7577
Se 0.7631 0.0000 0.2630

---

[2]
First-principles (PBE) data for a geometry-optimized Cd3RuC structure, as listed in the Alexandria database.

Formation energy from the elements in eV/f.u.: 9.626
Polymorph energy (0 for the lowest one) in meV per atom: 740
E in eV per cell: -11.62
Fermi-level density of states in states/eV per cell: 6.1

Cell: 5.2004 5.2004 5.2004 Å, 90.00 90.00 90.00°
Atoms (fractional coordinates):
Cd 0.0000 0.0000 0.5000
Cd 0.0000 0.5000 0.0000
Cd 0.5000 0.0000 0.0000
Ru 0.0000 0.0000 0.0000
C 0.5000 0.5000 0.5000

---

[3]
First-principles (PBE) data for a geometry-optimized Sm2TlBi structure, as listed in the Alexandria database.

Formation energy from the elements in eV/f.u.: -2.491
Polymorph energy (0 for the lowest one) in meV per atom: 0
E in eV per cell: -36.35
Fermi-level density of states in states/eV per cell: 4.9

Cell: 12.5976 12.5976 4.4964 Å, 90.00 90.00 158.86°
Atoms (fractional coordinates):
Sm 0.0623 0.9377 0.7500
Sm 0.3177 0.6823 0.7500
Sm 0.6823 0.3177 0.2500
Sm 0.9377 0.0623 0.2500
Tl 0.4554 0.5446 0.7500
Tl 0.5446 0.4554 0.2500
Bi 0.1887 0.8113 0.7500
Bi 0.8113 0.1887 0.2500

---

[4]
First-principles (PBE) data for a geometry-optimized SrYRe2 structure, as listed in the Alexandria database.

Formation energy from the elements in eV/f.u.: 1.809
Polymorph energy (0 for the lowest one) in meV per atom: 212
E in eV per cell: -31.23
Fermi-level density of states in states/eV per cell: 2.2

Cell: 6.2200 6.2200 6.2200 Å, 144.99 131.97 60.81°
Atoms (fractional coordinates):
Sr 0.0000 0.0000 0.0000
Y 0.7235 0.2235 0.5000
Re 0.2683 0.7683 0.5000
Re 0.4057 0.4057 0.0000

---

[5]
First-principles (PBE) data for a geometry-optimized YCuAs structure, as listed in the Alexandria database.

Formation energy from the elements in eV/f.u.: -2.694
E in eV per cell: -17.90
Fermi-level density of states in states/eV per cell: 1.2

Cell: 4.0908 4.0908 3.9816 Å, 90.00 90.00 120.00°
Atoms (fractional coordinates):
Y 0.0000 0.0000 0.0000
Cu 0.6667 0.3333 0.5000
As 0.3333 0.6667 0.5000

---

[6]
First-principles (PBE) data for a geometry-optimized LaZn2GeN structure, as listed in the Alexandria database.

Formation energy from raw total energies in meV per atom: -520
E in eV per cell: -46.03
Fermi-level density of states in states/eV per cell: 1.3

Cell: 6.3852 6.3852 7.3411 Å, 90.00 90.00 144.70°
Atoms (fractional coordinates):
La 0.0394 0.9606 0.7500
La 0.9606 0.0394 0.2500
Zn 0.3384 0.6616 0.5576
Zn 0.3384 0.6616 0.9424
Zn 0.6616 0.3384 0.0576
Zn 0.6616 0.3384 0.4424
Ge 0.2349 0.7651 0.2500
Ge 0.7651 0.2349 0.7500
N 0.5000 0.5000 0.0000
N 0.5000 0.5000 0.5000